Here is a geometry-optimized BeGaTcNi structure from OQMD. Energies are from GGA-PBE.

The structure in POSCAR format:
```
BeGaTcNi
1.0
0.000 2.891 2.891
2.891 0.000 2.891
2.891 2.891 0.000
Be Ga Tc Ni
1 1 1 1
Cartesian
0.000 0.000 0.000 Be
1.445 1.445 1.445 Ga
4.336 4.336 4.336 Tc
2.891 2.891 2.891 Ni
```

Calculated values
- Distance to the lowest polymorph of the same formula: 173 meV/atom
- Space-group type: F-43m, No. 216



Here is a geometry-optimized BeTlGaNi structure from OQMD. Energies are from GGA-PBE.

The structure in POSCAR format:
```
BeTlGaNi
1.0
0.000 3.180 3.180
3.180 0.000 3.180
3.180 3.180 0.000
Be Tl Ga Ni
1 1 1 1
Cartesian
0.000 0.000 0.000 Be
3.180 3.180 3.180 Tl
4.770 4.770 4.770 Ga
1.590 1.590 1.590 Ni
```

Calculated values
- Distance to the lowest polymorph of the same formula: 115 meV/atom
- Space-group type: F-43m, No. 216



Here is a geometry-optimized BeTlGaNi structure from OQMD. Energies are from GGA-PBE.

The structure in POSCAR format:
```
BeTlGaNi
1.0
0.000 3.130 3.130
3.130 0.000 3.130
3.130 3.130 0.000
Be Tl Ga Ni
1 1 1 1
Cartesian
0.000 0.000 0.000 Be
4.695 4.695 4.695 Tl
1.565 1.565 1.565 Ga
3.130 3.130 3.130 Ni
```

Calculated values
- Distance to the lowest polymorph of the same formula: 0 meV/atom
- Space-group type: F-43m, No. 216



Here is a geometry-optimized BeTlGaNi structure from OQMD. Energies are from GGA-PBE.

The structure in POSCAR format:
```
BeTlGaNi
1.0
0.000 3.162 3.162
3.162 0.000 3.162
3.162 3.162 0.000
Be Tl Ga Ni
1 1 1 1
Cartesian
0.000 0.000 0.000 Be
4.743 4.743 4.743 Tl
3.162 3.162 3.162 Ga
1.581 1.581 1.581 Ni
```

Calculated values
- Distance to the lowest polymorph of the same formula: 86 meV/atom
- Space-group type: F-43m, No. 216



Here is a geometry-optimized ZrBeGaNi structure from OQMD. Energies are from GGA-PBE.

The structure in POSCAR format:
```
ZrBeGaNi
1.0
0.000 3.032 3.032
3.032 0.000 3.032
3.032 3.032 0.000
Zr Be Ga Ni
1 1 1 1
Cartesian
0.000 0.000 0.000 Zr
1.516 1.516 1.516 Be
3.032 3.032 3.032 Ga
4.548 4.548 4.548 Ni
```

Calculated values
- Space-group type: F-43m, No. 216



Here is a geometry-optimized BeGaSbOs structure from OQMD. Energies are from GGA-PBE.

The structure in POSCAR format:
```
BeGaSbOs
1.0
0.000 3.156 3.156
3.156 0.000 3.156
3.156 3.156 0.000
Be Ga Sb Os
1 1 1 1
Cartesian
0.000 0.000 0.000 Be
4.734 4.734 4.734 Ga
1.578 1.578 1.578 Sb
3.156 3.156 3.156 Os
```

Calculated values
- Distance to the lowest polymorph of the same formula: 0 meV/atom
- Space-group type: F-43m, No. 216



Number 1: DFT total energy -5.635 eV per atom. Number 2: DFT total energy -3.130 eV per atom. Number 3: DFT total energy -3.246 eV per atom. Number 4: DFT total energy -3.160 eV per atom. Number 5: DFT total energy -5.568 eV per atom. Number 6: DFT total energy -5.007 eV per atom.